Compound: WAu2Br
Source: Alexandria via LeMat-Bulk
Functional: GGA-PBE
Structure: relaxed

Summary:
- Density: 13.56 g cm⁻³
- Total magnetic moment: 0.00 μB/cell
- Formation energy without anion corrections: 0.544 eV per atom
- Energy above the lowest structure with this stoichiometry: 0.191 eV per atom

abc: 3.001 3.001 10.304
angles: 90.00 90.00 119.77
Element x y z (fractional)
W 0.000 0.000 0.000
Au 0.000 0.000 0.535
Au 0.500 0.500 0.773
Br 0.500 0.500 0.205

=====

Compound: WAu2Br
Source: Alexandria via LeMat-Bulk
Functional: GGA-PBE
Structure: relaxed

Summary:
- Density: 14.10 g cm⁻³
- Total magnetic moment: 2.84 μB/cell
- Formation energy without anion corrections: 1.119 eV per atom
- Energy above the lowest structure with this stoichiometry: 0.766 eV per atom

abc: 5.498 5.498 5.498
angles: 136.61 136.61 63.04
Element x y z (fractional)
W 0.000 0.000 0.000
Au 0.250 0.750 0.500
Au 0.750 0.250 0.500
Br 0.500 0.500 0.000

=====

What did the first record say?
Compound: WAu2Br
Source: Alexandria via LeMat-Bulk
Functional: GGA-PBE
Structure: relaxed

Summary:
- Density: 13.56 g cm⁻³
- Total magnetic moment: 0.00 μB/cell
- Formation energy without anion corrections: 0.544 eV per atom
- Energy above the lowest structure with this stoichiometry: 0.191 eV per atom

abc: 3.001 3.001 10.304
angles: 90.00 90.00 119.77
Element x y z (fractional)
W 0.000 0.000 0.000
Au 0.000 0.000 0.535
Au 0.500 0.500 0.773
Br 0.500 0.500 0.205

=====

What is the formula in the first record? WAu2Br

=====

Which of these has the lowest total magnetic moment? number 1

=====

The lowest total magnetic moment belongs to which entry? number 1